Computed, not measured: an optimized crystal structure of LiYHoMg at the GGA-PBE level of DFT.

a = 5.3110 Å, b = 5.3110 Å, c = 5.3110 Å
α = 60.00°, β = 60.00°, γ = 60.00°
Closest atoms and distances in Å follow each position.
Positions (direct):
Y  0.7500  0.7500  0.7500  4 Li 3.25, 4 Mg 3.25
Mg  0.5000  0.5000  0.5000  4 Y 3.25, 4 Ho 3.25
Ho  0.2500  0.2500  0.2500  4 Li 3.25, 4 Mg 3.25
Li  0.0000  0.0000  0.0000  4 Ho 3.25, 4 Y 3.25

Results
Volume: 106 Å³/f.u.
VASP energy: -14.41 eV for the cell shown
D(E_F): 6.08 states/eV/cell
Magnetization: 0.00 μB per cell
Space group: No. 216